No. 1
HfPd3 | GGA-PBE | relaxed

Results
Its mass density is 12.80 Mg/m³. Its formation energy is -876 meV/atom. For the calculated total energy, the calculation gives -7.26 eV per atom.

Lattice parameters (Å, degrees): 5.6657 5.6657 9.2907 90.00 90.00 120.00
Last column: nearest neighbours and their distance in Å.
Atoms (fractional coordinates):
Pd: 0.5000 0.0000 0.0000  8 Pd 2.83, 4 Hf 2.83-2.84
Pd: 0.1688 0.8312 0.7500  8 Pd 2.80-2.87, 4 Hf 2.83-2.85
Pd: 0.1688 0.3376 0.7500  8 Pd 2.80-2.87, 4 Hf 2.83-2.85
Pd: 0.8312 0.6624 0.2500  8 Pd 2.80-2.87, 4 Hf 2.83-2.85
Pd: 0.5000 0.5000 0.5000  8 Pd 2.83, 4 Hf 2.83-2.84
Pd: 0.5000 0.0000 0.5000  8 Pd 2.83, 4 Hf 2.83-2.84
Pd: 0.0000 0.5000 0.0000  4 Hf 2.83-2.84, 8 Pd 2.83
Pd: 0.5000 0.5000 0.0000  8 Pd 2.83, 4 Hf 2.83-2.84
Pd: 0.6624 0.8312 0.7500  8 Pd 2.80-2.87, 4 Hf 2.83-2.85
Pd: 0.8312 0.1688 0.2500  8 Pd 2.80-2.87, 4 Hf 2.83-2.85
Pd: 0.3376 0.1688 0.2500  8 Pd 2.80-2.87, 4 Hf 2.83-2.85
Pd: 0.0000 0.5000 0.5000  4 Hf 2.83-2.84, 8 Pd 2.83
Hf: 0.0000 0.0000 0.5000  12 Pd 2.83-2.85
Hf: 0.3333 0.6667 0.2500  12 Pd 2.83-2.84
Hf: 0.0000 0.0000 0.0000  12 Pd 2.83-2.85
Hf: 0.6667 0.3333 0.7500  12 Pd 2.83-2.84

No. 2
HfPd | GGA-PBE | relaxed

Results
Its mass density is 6.71 Mg/m³. Its formation energy is 463 meV/atom. For the calculated total energy, the calculation gives -7.11 eV per atom.

Lattice parameters (Å, degrees): 8.2608 8.2608 8.2608 90.00 90.00 90.00
Last column: nearest neighbours and their distance in Å.
Atoms (fractional coordinates):
Hf: 0.3612 0.6388 0.6388  4 Pd 2.61-2.69
Hf: 0.3612 0.3612 0.3612  4 Pd 2.61-2.69
Hf: 0.1388 0.1388 0.8612  4 Pd 2.61-2.69
Hf: 0.6388 0.3612 0.6388  4 Pd 2.61-2.69
Hf: 0.8612 0.1388 0.1388  4 Pd 2.61-2.69
Hf: 0.6388 0.6388 0.3612  4 Pd 2.61-2.69
Hf: 0.1388 0.8612 0.1388  4 Pd 2.61-2.69
Hf: 0.8612 0.8612 0.8612  4 Pd 2.61-2.69
Pd: 0.1734 0.8266 0.8266  4 Hf 2.61-2.69
Pd: 0.3266 0.3266 0.6734  4 Hf 2.61-2.69
Pd: 0.3266 0.6734 0.3266  4 Hf 2.61-2.69
Pd: 0.1734 0.1734 0.1734  4 Hf 2.61-2.69
Pd: 0.8266 0.8266 0.1734  4 Hf 2.61-2.69
Pd: 0.6734 0.3266 0.3266  4 Hf 2.61-2.69
Pd: 0.6734 0.6734 0.6734  4 Hf 2.61-2.69
Pd: 0.8266 0.1734 0.8266  4 Hf 2.61-2.69

Record-wise calculated volume values, in Å³/cell: 258.3, 563.7